No. 1
Density functional theory data (PBE) for an optimized crystal structure of BaCa2Ag.

Unit cell a=10.709 b=10.709 c=10.709 alpha=23.13 beta=23.13 gamma=23.13
Sites, in units of the cell vectors:
Ba: 0.000 0.000 0.000
Ca: 0.556 0.556 0.556
Ca: 0.777 0.777 0.777
Ag: 0.166 0.166 0.166

As for the energy above the most stable polymorph in this dataset: 88.6 meV/atom. The density of states at the Fermi level is 3.6 states/eV per cell. As for the energy relative to the elements: -0.08 eV/atom. The value obtained for the magnetic moment is 0.00 μB per formula unit.

=====

No. 2
Density functional theory data (PBE) for an optimized crystal structure of BaCa2Ag.

Unit cell a=6.487 b=6.487 c=6.487 alpha=131.78 beta=131.78 gamma=70.58
Sites, in units of the cell vectors:
Ba: 0.000 0.000 0.000
Ca: 0.500 0.500 0.000
Ca: 0.750 0.250 0.500
Ag: 0.250 0.750 0.500

As for the energy above the most stable polymorph in this dataset: 210.2 meV/atom. The density of states at the Fermi level is 4.4 states/eV per cell. As for the energy relative to the elements: 0.04 eV/atom. The value obtained for the magnetic moment is 0.00 μB per formula unit.

=====

No. 3
Density functional theory data (PBE) for an optimized crystal structure of Ba2CaCd6Ag.

Unit cell a=8.002 b=8.002 c=8.002 alpha=60.00 beta=60.00 gamma=60.00
Sites, in units of the cell vectors:
Ba: 0.250 0.250 0.250
Ba: 0.750 0.750 0.750
Ca: 0.000 0.000 0.000
Cd: 0.263 0.263 0.737
Cd: 0.263 0.737 0.263
Cd: 0.263 0.737 0.737
Cd: 0.737 0.263 0.263
Cd: 0.737 0.263 0.737
Cd: 0.737 0.737 0.263
Ag: 0.500 0.500 0.500

The density of states at the Fermi level is 8.6 states/eV per cell. As for the energy relative to the elements: -0.03 eV/atom. The value obtained for the magnetic moment is 0.00 μB per formula unit.

=====

No. 4
Density functional theory data (PBE) for an optimized crystal structure of Ba2CaCd4Ag3.

Unit cell a=4.634 b=4.634 c=13.636 alpha=90.00 beta=90.00 gamma=90.00
Sites, in units of the cell vectors:
Ba: 0.000 0.500 0.227
Ba: 0.500 0.000 0.773
Ca: 0.000 0.000 0.500
Cd: 0.000 0.000 0.000
Cd: 0.000 0.500 0.657
Cd: 0.500 0.000 0.343
Cd: 0.500 0.500 0.000
Ag: 0.000 0.500 0.869
Ag: 0.500 0.000 0.131
Ag: 0.500 0.500 0.500

The density of states at the Fermi level is 6.1 states/eV per cell. As for the energy relative to the elements: -0.25 eV/atom. The value obtained for the magnetic moment is 0.00 μB per formula unit.

=====

No. 5
Density functional theory data (PBE) for an optimized crystal structure of BaCaCd2Ag2.

Unit cell a=4.996 b=4.996 c=7.950 alpha=90.00 beta=90.00 gamma=120.00
Sites, in units of the cell vectors:
Ba: 0.000 0.000 0.000
Ca: 0.000 0.000 0.500
Cd: 0.333 0.667 0.298
Cd: 0.667 0.333 0.702
Ag: 0.333 0.667 0.700
Ag: 0.667 0.333 0.300

The density of states at the Fermi level is 4.2 states/eV per cell. As for the energy relative to the elements: -0.32 eV/atom. The value obtained for the magnetic moment is 0.00 μB per formula unit.

=====

No. 6
Density functional theory data (PBE) for an optimized crystal structure of Ba2CaCd3Ag4.

Unit cell a=4.836 b=4.836 c=12.369 alpha=90.00 beta=90.00 gamma=90.00
Sites, in units of the cell vectors:
Ba: 0.000 0.500 0.227
Ba: 0.500 0.000 0.773
Ca: 0.000 0.000 0.500
Cd: 0.000 0.500 0.879
Cd: 0.500 0.000 0.121
Cd: 0.500 0.500 0.500
Ag: 0.000 0.000 0.000
Ag: 0.000 0.500 0.650
Ag: 0.500 0.000 0.350
Ag: 0.500 0.500 0.000

The density of states at the Fermi level is 6.2 states/eV per cell. As for the energy relative to the elements: -0.24 eV/atom. The value obtained for the magnetic moment is 0.00 μB per formula unit.

=====

No. 7
Density functional theory data (PBE) for an optimized crystal structure of BaCaCd2Ag4.

Unit cell a=10.452 b=10.452 c=10.452 alpha=27.03 beta=27.03 gamma=27.03
Sites, in units of the cell vectors:
Ba: 0.000 0.000 0.000
Ca: 0.500 0.500 0.500
Cd: 0.239 0.239 0.239
Cd: 0.761 0.761 0.761
Ag: 0.114 0.114 0.114
Ag: 0.402 0.402 0.402
Ag: 0.598 0.598 0.598
Ag: 0.886 0.886 0.886

The density of states at the Fermi level is 2.9 states/eV per cell. As for the energy relative to the elements: -0.23 eV/atom. The value obtained for the magnetic moment is 0.00 μB per formula unit.

=====

No. 8
Density functional theory data (PBE) for an optimized crystal structure of Ba2CaCd3Ag12.

Unit cell a=8.658 b=8.658 c=8.658 alpha=65.86 beta=65.86 gamma=65.86
Sites, in units of the cell vectors:
Ba: 0.097 0.097 0.097
Ba: 0.903 0.903 0.903
Ca: 0.500 0.500 0.500
Cd: 0.000 0.500 0.500
Cd: 0.500 0.000 0.500
Cd: 0.500 0.500 0.000
Ag: 0.138 0.648 0.648
Ag: 0.146 0.146 0.486
Ag: 0.146 0.486 0.146
Ag: 0.352 0.352 0.862
Ag: 0.352 0.862 0.352
Ag: 0.486 0.146 0.146
Ag: 0.514 0.854 0.854
Ag: 0.648 0.138 0.648
Ag: 0.648 0.648 0.138
Ag: 0.854 0.514 0.854
Ag: 0.854 0.854 0.514
Ag: 0.862 0.352 0.352

The density of states at the Fermi level is 6.0 states/eV per cell. As for the energy relative to the elements: 0.15 eV/atom. The value obtained for the magnetic moment is 0.00 μB per formula unit.

=====

No. 9
Density functional theory data (PBE) for an optimized crystal structure of BaCaAg2Cl8.

Unit cell a=8.558 b=8.558 c=8.558 alpha=131.97 beta=131.97 gamma=70.28
Sites, in units of the cell vectors:
Ba: 0.000 0.000 0.000
Ca: 0.250 0.750 0.500
Ag: 0.500 0.500 0.000
Ag: 0.750 0.250 0.500
Cl: 0.278 0.431 0.566
Cl: 0.289 0.722 0.154
Cl: 0.401 0.016 0.037
Cl: 0.569 0.135 0.846
Cl: 0.636 0.599 0.615
Cl: 0.865 0.711 0.434
Cl: 0.979 0.364 0.963
Cl: 0.984 0.021 0.385

The density of states at the Fermi level is 6.2 states/eV per cell. Its uncorrected formation energy is -1.31 eV/atom. The value obtained for the magnetic moment is 0.06 μB per formula unit.

=====

No. 10
Density functional theory data (PBE) for an optimized crystal structure of CsBa2CaAg.

Unit cell a=6.735 b=6.735 c=6.190 alpha=90.00 beta=90.00 gamma=90.00
Sites, in units of the cell vectors:
Cs: 0.000 0.000 0.000
Ba: 0.000 0.500 0.500
Ba: 0.500 0.000 0.500
Ca: 0.500 0.500 0.000
Ag: 0.500 0.500 0.500

The density of states at the Fermi level is 4.9 states/eV per cell. As for the energy relative to the elements: -0.01 eV/atom. The value obtained for the magnetic moment is 0.00 μB per formula unit.

=====

No. 11
Density functional theory data (PBE) for an optimized crystal structure of Cs2BaCaAg.

Unit cell a=7.016 b=7.016 c=6.756 alpha=90.00 beta=90.00 gamma=90.00
Sites, in units of the cell vectors:
Cs: 0.000 0.500 0.000
Cs: 0.500 0.000 0.000
Ba: 0.000 0.000 0.500
Ca: 0.500 0.500 0.500
Ag: 0.000 0.000 0.000

The density of states at the Fermi level is 4.4 states/eV per cell. As for the energy relative to the elements: 0.20 eV/atom. The value obtained for the magnetic moment is 0.00 μB per formula unit.

=====

No. 12
Density functional theory data (PBE) for an optimized crystal structure of CsBaCa2Ag.

Unit cell a=6.174 b=6.174 c=6.581 alpha=90.00 beta=90.00 gamma=90.00
Sites, in units of the cell vectors:
Cs: 0.000 0.000 0.000
Ba: 0.500 0.500 0.000
Ca: 0.000 0.500 0.500
Ca: 0.500 0.000 0.500
Ag: 0.500 0.500 0.500

The density of states at the Fermi level is 5.0 states/eV per cell. As for the energy relative to the elements: 0.01 eV/atom. The value obtained for the magnetic moment is 0.00 μB per formula unit.